(1)
# Nd2HoSi2, optimized geometry, DFT PBE-GGA
data_Nd2HoSi2
_cell_length_a 12.443
_cell_length_b 4.360
_cell_length_c 10.737
_cell_angle_alpha 90.00
_cell_angle_beta 116.81
_cell_angle_gamma 90.00
_symmetry_space_group_name_H-M 'C 1 2/m 1'
_symmetry_Int_Tables_number 12
loop_
_symmetry_equiv_pos_as_xyz
'x,y,z'
'-x,-y,-z'
'-x,y,-z'
'x,-y,z'
'x+1/2,y+1/2,z'
'-x+1/2,-y+1/2,-z'
'-x+1/2,y+1/2,-z'
'x+1/2,-y+1/2,z'
loop_
_atom_site_label
_atom_site_fract_x
_atom_site_fract_y
_atom_site_fract_z
Nd1 0.015 0.000 0.188
Nd2 0.179 0.000 0.591
Ho1 0.225 0.500 0.867
Si1 0.010 0.500 0.394
Si2 0.110 0.500 0.054
# Energy above the lowest structure with this stoichiometry: 0.326 eV per formula unit
# Raw total energy: -5.615 eV per atom
# Formation energy from raw total energies: -0.62 eV/atom
# Total magnetic moment: 0.00 μB per cell

(2)
# Nd3Ho3Si4, optimized geometry, DFT PBE-GGA
data_Nd3Ho3Si4
_cell_length_a 4.343
_cell_length_b 10.757
_cell_length_c 10.631
_cell_angle_alpha 90.00
_cell_angle_beta 90.00
_cell_angle_gamma 90.00
_symmetry_space_group_name_H-M 'A m m 2'
_symmetry_Int_Tables_number 38
loop_
_symmetry_equiv_pos_as_xyz
'x,y,z'
'-x,-y,z'
'-x,y,z'
'x,-y,z'
'x,y+1/2,z+1/2'
'-x,-y+1/2,z+1/2'
'-x,y+1/2,z+1/2'
'x,-y+1/2,z+1/2'
loop_
_atom_site_label
_atom_site_fract_x
_atom_site_fract_y
_atom_site_fract_z
Nd1 0.000 0.000 0.000
Nd2 0.000 0.178 0.674
Ho1 0.000 0.000 0.352
Ho2 0.500 0.249 0.925
Si1 0.500 0.000 0.554
Si2 0.500 0.000 0.787
Si3 0.500 0.114 0.180
# Raw total energy: -5.663 eV per atom
# Formation energy from raw total energies: -0.69 eV/atom
# Total magnetic moment: 0.00 μB per cell

(3)
# NdHo4Si4, optimized geometry, DFT PBE-GGA
data_NdHo4Si4
_cell_length_a 9.177
_cell_length_b 9.177
_cell_length_c 5.702
_cell_angle_alpha 90.00
_cell_angle_beta 90.00
_cell_angle_gamma 90.00
_symmetry_space_group_name_H-M 'P 42/n'
_symmetry_Int_Tables_number 86
loop_
_symmetry_equiv_pos_as_xyz
'x,y,z'
'-x,-y,-z'
'-y,x+1/2,z+1/2'
'y,-x+1/2,-z+1/2'
'-x+1/2,-y+1/2,z'
'x+1/2,y+1/2,-z'
'y+1/2,-x,z+1/2'
'-y+1/2,x,-z+1/2'
loop_
_atom_site_label
_atom_site_fract_x
_atom_site_fract_y
_atom_site_fract_z
Nd1 0.250 0.250 0.250
Ho1 0.096 0.644 0.128
Si1 0.040 0.598 0.632
# Raw total energy: -5.451 eV per atom
# Formation energy from raw total energies: -0.48 eV/atom
# Total magnetic moment: 0.00 μB per cell